Entry 1:
Dy3BiTe3 | the Alexandria database | PBE | relaxed; formation energy (no corrections) = -1.02 eV per atom; magnetic moment = 0.000 μB/atom
1.0
3.8923 2.2472 10.9626
-3.8923 2.2472 10.9626
0.0000 -4.4945 10.9626
Dy Bi Te
6 2 6
Direct
0.0629 0.4363 0.6895
0.3105 0.9371 0.5637
0.4363 0.6895 0.0629
0.5637 0.3105 0.9371
0.6895 0.0629 0.4363
0.9371 0.5637 0.3105
0.3333 0.3333 0.3333
0.6667 0.6667 0.6667
0.1068 0.8051 0.4082
0.1949 0.5918 0.8932
0.4082 0.1068 0.8051
0.5918 0.8932 0.1949
0.8051 0.4082 0.1068
0.8932 0.1949 0.5918



Entry 2:
Hg3ClO | the Alexandria database | PBE | relaxed; formation energy (no corrections) = 0.01 eV per atom; polymorph energy (0 for the lowest one) = 352.9 meV per atom; magnetic moment = 0.000 μB/atom
1.0
4.9178 0.0000 0.0000
0.0000 4.9178 0.0000
0.0000 0.0000 4.9178
Hg Cl O
3 1 1
Direct
0.0000 0.0000 0.5000
0.0000 0.5000 0.0000
0.5000 0.0000 0.0000
0.5000 0.5000 0.5000
0.0000 0.0000 0.0000



Entry 3:
Tc2OsCl | the Alexandria database | PBE | relaxed; formation energy (no corrections) = 1.00 eV per atom; polymorph energy (0 for the lowest one) = 716.8 meV per atom; magnetic moment = 0.000 μB/atom
1.0
2.5949 -4.1229 0.0000
2.5949 4.1229 0.0000
-0.5875 0.0000 2.7901
Tc Os Cl
2 1 1
Direct
0.0000 0.5000 0.0000
0.5000 0.0000 0.0000
0.0000 0.0000 0.5000
0.5000 0.5000 0.5000



| no. | VASP energy (eV/atom) |
| --- | --- |
| 1 | -4.897 |
| 2 | -1.528 |
| 3 | -7.449 |